<one>
Below is an optimized crystal structure of PaCd2Sb, with properties calculated at the PBE level.

Cell lengths 3.1877, 3.1877, 12.1603 Å; angles 82.47, 82.47, 60.00 degrees
Positions (direct):
Sb 0.5000 0.5000 0.5000
Pa 0.0000 0.0000 0.0000
Cd 0.0889 0.0889 0.7333
Cd 0.9111 0.9111 0.2667

* magnetization: 0.9 μB/cell


<two>
Below is an optimized crystal structure of PaCd2Sb, with properties calculated at the PBE level.

Cell lengths 5.0875, 4.4049, 4.4049 Å; angles 90.00, 90.00, 90.00 degrees
Positions (direct):
Sb 0.5000 0.5000 0.5000
Pa 0.5000 0.0000 0.0000
Cd 0.0000 0.0000 0.5000
Cd 0.0000 0.5000 0.0000

* magnetization: 0.0 μB/cell


Which of them is most stable? Easy: <two>.


<one>
Below is an optimized crystal structure of PaCdSb, with properties calculated at the PBE level.

Cell lengths 3.8357, 3.8357, 5.8964 Å; angles 108.98, 108.98, 90.00 degrees
Positions (direct):
Sb 0.6685 0.6685 0.3370
Pa 0.0054 0.0054 0.0108
Cd 0.3261 0.3261 0.6522

* magnetization: 0.9 μB/cell


<two>
Below is an optimized crystal structure of PaCdSb, with properties calculated at the PBE level.

Cell lengths 3.1488, 5.2343, 5.2343 Å; angles 120.00, 90.00, 90.00 degrees
Positions (direct):
Sb 0.8326 0.6667 0.3333
Pa 0.3336 0.3333 0.6667
Cd 0.8337 0.0000 0.0000

* magnetization: 1.3 μB/cell


Which of them is most stable? Easy: <two>.


<one>
Below is an optimized crystal structure of ScPaCd, with properties calculated at the PBE level.

Cell lengths 4.2993, 4.2993, 7.8763 Å; angles 97.29, 97.29, 89.33 degrees
Positions (direct):
Sc 0.9061 0.9061 0.6748
Sc 0.0939 0.0939 0.3252
Cd 0.4139 0.4139 0.6693
Cd 0.5861 0.5861 0.3307
Pa 0.5000 0.0000 0.0000
Pa 0.0000 0.5000 0.0000

* magnetization: 0.0 μB/cell


<two>
Below is an optimized crystal structure of ScPaCd, with properties calculated at the PBE level.

Cell lengths 3.1057, 3.1057, 7.6277 Å; angles 101.75, 101.75, 90.00 degrees
Positions (direct):
Sc 0.6631 0.6631 0.3261
Pa 0.3302 0.3302 0.6604
Cd 0.0067 0.0067 0.0134

* magnetization: 0.0 μB/cell


Which of them is most stable? Easy: <two>.


<one>
Below is an optimized crystal structure of Sm2PaCd, with properties calculated at the PBE level.

Cell lengths 3.4665, 3.4665, 9.3485 Å; angles 90.00, 90.00, 90.00 degrees
Positions (direct):
Pa 0.5000 0.5000 0.5000
Sm 0.0000 0.0000 0.7581
Sm 0.0000 0.0000 0.2419
Cd 0.5000 0.5000 0.0000

* magnetization: 0.1 μB/cell


<two>
Below is an optimized crystal structure of Sm2PaCd, with properties calculated at the PBE level.

Cell lengths 3.2815, 3.2815, 12.2045 Å; angles 82.27, 82.27, 60.00 degrees
Positions (direct):
Pa 0.0000 0.0000 0.0000
Sm 0.0896 0.0896 0.7312
Sm 0.9104 0.9104 0.2688
Cd 0.5000 0.5000 0.5000

* magnetization: 0.0 μB/cell


<three>
Below is an optimized crystal structure of Sm2PaCd, with properties calculated at the PBE level.

Cell lengths 3.4469, 5.6622, 5.6622 Å; angles 90.00, 90.00, 90.00 degrees
Positions (direct):
Pa 0.5000 0.0000 0.0000
Sm 0.0000 0.0000 0.5000
Sm 0.0000 0.5000 0.0000
Cd 0.5000 0.5000 0.5000

* magnetization: 0.0 μB/cell


Which of them is most stable? Easy: <one>.


<one>
Below is an optimized crystal structure of Pa2CdSn, with properties calculated at the PBE level.

Cell lengths 5.2974, 5.2974, 5.2974 Å; angles 60.00, 60.00, 60.00 degrees
Positions (direct):
Pa 0.2500 0.2500 0.2500
Pa 0.7500 0.7500 0.7500
Sn 0.0000 0.0000 0.0000
Cd 0.5000 0.5000 0.5000

* magnetization: 3.0 μB/cell


<two>
Below is an optimized crystal structure of Pa2CdSn, with properties calculated at the PBE level.

Cell lengths 5.0046, 4.4096, 4.4096 Å; angles 90.00, 90.00, 90.00 degrees
Positions (direct):
Pa 0.0000 0.0000 0.5000
Pa 0.0000 0.5000 0.0000
Sn 0.5000 0.5000 0.5000
Cd 0.5000 0.0000 0.0000

* magnetization: 1.0 μB/cell


Which of them is most stable? Easy: <two>.


<one>
Below is an optimized crystal structure of PaCd2Sn, with properties calculated at the PBE level.

Cell lengths 4.9235, 4.4794, 4.4794 Å; angles 90.00, 90.00, 90.00 degrees
Positions (direct):
Pa 0.5000 0.5000 0.5000
Sn 0.5000 0.0000 0.0000
Cd 0.0000 0.0000 0.5000
Cd 0.0000 0.5000 0.0000

* magnetization: 0.6 μB/cell


<two>
Below is an optimized crystal structure of PaCd2Sn, with properties calculated at the PBE level.

Cell lengths 5.1913, 5.1913, 5.1913 Å; angles 60.00, 60.00, 60.00 degrees
Positions (direct):
Pa 0.0000 0.0000 0.0000
Sn 0.5000 0.5000 0.5000
Cd 0.2500 0.2500 0.2500
Cd 0.7500 0.7500 0.7500

* magnetization: 0.8 μB/cell


Which of them is most stable? Easy: <one>.


<one>
Below is an optimized crystal structure of Tb2PaCd, with properties calculated at the PBE level.

Cell lengths 4.5290, 4.8916, 4.8916 Å; angles 90.00, 90.00, 90.00 degrees
Positions (direct):
Pa 0.5000 0.5000 0.5000
Tb 0.0000 0.0000 0.5000
Tb 0.0000 0.5000 0.0000
Cd 0.5000 0.0000 0.0000

* magnetization: 0.0 μB/cell


<two>
Below is an optimized crystal structure of Tb2PaCd, with properties calculated at the PBE level.

Cell lengths 3.2590, 3.2590, 12.0842 Å; angles 82.25, 82.25, 60.00 degrees
Positions (direct):
Pa 0.0000 0.0000 0.0000
Tb 0.0902 0.0902 0.7293
Tb 0.9098 0.9098 0.2707
Cd 0.5000 0.5000 0.5000

* magnetization: 0.0 μB/cell


<three>
Below is an optimized crystal structure of Tb2PaCd, with properties calculated at the PBE level.

Cell lengths 3.4356, 3.4356, 9.1914 Å; angles 90.00, 90.00, 90.00 degrees
Positions (direct):
Pa 0.5000 0.5000 0.5000
Tb 0.0000 0.0000 0.7592
Tb 0.0000 0.0000 0.2408
Cd 0.5000 0.5000 0.0000

* magnetization: 0.1 μB/cell


Which of them is most stable? Easy: <three>.


<one>
Below is an optimized crystal structure of Pa2CdTc, with properties calculated at the PBE level.

Cell lengths 4.3296, 4.4643, 4.4643 Å; angles 90.00, 90.00, 90.00 degrees
Positions (direct):
Pa 0.0000 0.0000 0.5000
Pa 0.0000 0.5000 0.0000
Tc 0.5000 0.0000 0.0000
Cd 0.5000 0.5000 0.5000

* magnetization: 0.0 μB/cell


<two>
Below is an optimized crystal structure of Pa2CdTc, with properties calculated at the PBE level.

Cell lengths 3.1799, 3.1799, 8.9126 Å; angles 90.00, 90.00, 90.00 degrees
Positions (direct):
Pa 0.0000 0.0000 0.7904
Pa 0.0000 0.0000 0.2096
Tc 0.5000 0.5000 0.0000
Cd 0.5000 0.5000 0.5000

* magnetization: 0.0 μB/cell


<three>
Below is an optimized crystal structure of Pa2CdTc, with properties calculated at the PBE level.

Cell lengths 3.6675, 3.6675, 10.2779 Å; angles 79.72, 79.72, 60.00 degrees
Positions (direct):
Pa 0.1106 0.1106 0.6681
Pa 0.8894 0.8894 0.3319
Tc 0.5000 0.5000 0.5000
Cd 0.0000 0.0000 0.0000

* magnetization: 2.1 μB/cell


Which of them is most stable? Easy: <two>.


<one>
Below is an optimized crystal structure of PaCdTe2, with properties calculated at the PBE level.

Cell lengths 3.8565, 3.8565, 7.3200 Å; angles 90.00, 90.00, 90.00 degrees
Positions (direct):
Pa 0.5000 0.5000 0.0000
Te 0.0000 0.0000 0.7703
Te 0.0000 0.0000 0.2297
Cd 0.5000 0.5000 0.5000

* magnetization: 0.7 μB/cell


<two>
Below is an optimized crystal structure of PaCdTe2, with properties calculated at the PBE level.

Cell lengths 4.2292, 4.2292, 10.6906 Å; angles 78.59, 78.59, 60.00 degrees
Positions (direct):
Pa 0.5000 0.5000 0.5000
Te 0.1071 0.1071 0.6787
Te 0.8929 0.8929 0.3213
Cd 0.0000 0.0000 0.0000

* magnetization: 1.0 μB/cell


<three>
Below is an optimized crystal structure of PaCdTe2, with properties calculated at the PBE level.

Cell lengths 4.1984, 4.1984, 9.6652 Å; angles 77.46, 77.46, 60.00 degrees
Positions (direct):
Pa 0.6672 0.6672 0.9984
Cd 0.4979 0.4979 0.5064
Te 0.0684 0.0684 0.7947
Te 0.2665 0.2665 0.2004

* magnetization: 1.0 μB/cell


Which of them is most stable? Easy: <one>.


<one>
Below is an optimized crystal structure of ThPa2Cd, with properties calculated at the PBE level.

Cell lengths 5.3044, 5.3044, 5.3042 Å; angles 60.00, 60.00, 60.00 degrees
Positions (direct):
Pa 0.2501 0.2501 0.2497
Pa 0.7499 0.7499 0.7503
Th 0.5000 0.5000 0.5000
Cd 0.0000 0.0000 0.0000

* magnetization: 0.0 μB/cell


<two>
Below is an optimized crystal structure of ThPa2Cd, with properties calculated at the PBE level.

Cell lengths 5.0228, 4.5899, 4.5899 Å; angles 90.00, 90.00, 90.00 degrees
Positions (direct):
Pa 0.0000 0.0000 0.5000
Pa 0.0000 0.5000 0.0000
Th 0.5000 0.0000 0.0000
Cd 0.5000 0.5000 0.5000

* magnetization: 0.0 μB/cell


Which of them is most stable? Easy: <two>.


<one>
Below is an optimized crystal structure of PaTi2Cd, with properties calculated at the PBE level.

Cell lengths 3.1907, 4.9553, 4.9553 Å; angles 90.00, 90.00, 90.00 degrees
Positions (direct):
Pa 0.5000 0.5000 0.5000
Ti 0.0000 0.0000 0.5000
Ti 0.0000 0.5000 0.0000
Cd 0.5000 0.0000 0.0000

* magnetization: 0.0 μB/cell


<two>
Below is an optimized crystal structure of PaTi2Cd, with properties calculated at the PBE level.

Cell lengths 3.4306, 3.4306, 6.7146 Å; angles 90.00, 90.00, 90.00 degrees
Positions (direct):
Pa 0.5000 0.5000 0.5000
Ti 0.0000 0.0000 0.7257
Ti 0.0000 0.0000 0.2743
Cd 0.5000 0.5000 0.0000

* magnetization: 0.0 μB/cell


Which of them is most stable? Easy: <one>.


<one>
Below is an optimized crystal structure of PaTlCd2, with properties calculated at the PBE level.

Cell lengths 3.1826, 3.1826, 12.3186 Å; angles 82.58, 82.58, 60.00 degrees
Positions (direct):
Tl 0.5000 0.5000 0.5000
Pa 0.0000 0.0000 0.0000
Cd 0.0882 0.0882 0.7355
Cd 0.9118 0.9118 0.2645

* magnetization: 0.8 μB/cell


<two>
Below is an optimized crystal structure of PaTlCd2, with properties calculated at the PBE level.

Cell lengths 4.8127, 4.5878, 4.5878 Å; angles 90.00, 90.00, 90.00 degrees
Positions (direct):
Tl 0.5000 0.0000 0.0000
Pa 0.5000 0.5000 0.5000
Cd 0.0000 0.0000 0.5000
Cd 0.0000 0.5000 0.0000

* magnetization: 1.0 μB/cell


Which of them is most stable? Easy: <two>.